No. 1
First-principles (PBE+U) data for a geometry-optimized LiNiOF structure, as listed in the Alexandria database.

Output
**Magnetization**: 0.500 μB per atom
**SG**: No. 123
**Total energy**: -4.804 eV/atom

Unit cell a=2.9534 b=2.9534 c=12.4942 alpha=90.00 beta=90.00 gamma=90.00
With the nearest neighbours (Å) after each atom.
Positions (direct):
Ni1 0.5000 0.5000 0.0000  6 O 2.09-2.14
Ni2 0.0000 0.0000 0.1685  5 O 2.09-2.11, 1 F 2.16
Ni3 0.0000 0.0000 0.8315  5 O 2.09-2.11, 1 F 2.16
O1 0.5000 0.5000 0.8289  1 Li 2.07, 5 Ni 2.09-2.14
O2 0.5000 0.5000 0.1711  1 Li 2.07, 5 Ni 2.09-2.14
O3 0.0000 0.0000 0.0000  6 Ni 2.09-2.11
F1 0.0000 0.0000 0.6587  5 Li 1.98-2.09, 1 Ni 2.16
F2 0.0000 0.0000 0.3413  5 Li 1.98-2.09, 1 Ni 2.16
F3 0.5000 0.5000 0.5000  6 Li 2.04-2.09
Li1 0.5000 0.5000 0.3366  5 F 2.04-2.09, 1 O 2.07
Li2 0.0000 0.0000 0.5000  6 F 1.98-2.09
Li3 0.5000 0.5000 0.6634  5 F 2.04-2.09, 1 O 2.07

=====

No. 2
First-principles (PBE+U) data for a geometry-optimized CaMg30VO32 structure, as listed in the Alexandria database.

Output
**Magnetization**: 0.047 μB per atom
**SG**: No. 123
**Total energy**: -6.041 eV/atom

Unit cell a=8.5626 b=8.5626 c=8.5847 alpha=90.00 beta=90.00 gamma=90.00
With the nearest neighbours (Å) after each atom.
Positions (direct):
Mg1 0.2507 0.2507 0.5000  6 O 2.13-2.15
Mg2 0.5000 0.0000 0.0000  6 O 2.03-2.16
Mg3 0.7471 0.2529 0.0000  6 O 2.12-2.17
Mg4 0.7471 0.7471 0.0000  6 O 2.12-2.17
Mg5 0.5000 0.2503 0.7497  6 O 2.14-2.15
Mg6 0.0000 0.7466 0.7479  6 O 2.11-2.17
Mg7 0.0000 0.5000 0.0000  6 O 2.03-2.16
Mg8 0.2534 0.0000 0.2521  6 O 2.11-2.17
Mg9 0.7466 0.0000 0.7479  6 O 2.11-2.17
Mg10 0.2503 0.5000 0.2503  6 O 2.14-2.15
Mg11 0.7497 0.5000 0.2503  6 O 2.14-2.15
Mg12 0.5000 0.7497 0.7497  6 O 2.14-2.15
Mg13 0.5000 0.5000 0.5000  6 O 2.13-2.14
Mg14 0.0000 0.2534 0.7479  6 O 2.11-2.17
Mg15 0.2529 0.7471 0.0000  6 O 2.12-2.17
Mg16 0.2503 0.5000 0.7497  6 O 2.14-2.15
Mg17 0.5000 0.2503 0.2503  6 O 2.14-2.15
Mg18 0.7493 0.7493 0.5000  6 O 2.13-2.15
Mg19 0.2534 0.0000 0.7479  6 O 2.11-2.17
Mg20 0.5000 0.5000 0.0000  6 O 2.12-2.15
Mg21 0.5000 0.7497 0.2503  6 O 2.14-2.15
Mg22 0.7466 0.0000 0.2521  6 O 2.11-2.17
Mg23 0.0000 0.7466 0.2521  6 O 2.11-2.17
Mg24 0.5000 0.0000 0.5000  6 O 2.09-2.15
Mg25 0.2507 0.7493 0.5000  6 O 2.13-2.15
Mg26 0.7493 0.2507 0.5000  6 O 2.13-2.15
Mg27 0.2529 0.2529 0.0000  6 O 2.12-2.17
Mg28 0.7497 0.5000 0.7497  6 O 2.14-2.15
Mg29 0.0000 0.2534 0.2521  6 O 2.11-2.17
Mg30 0.0000 0.5000 0.5000  6 O 2.09-2.15
O1 0.5000 0.2510 0.5000  6 Mg 2.13-2.15
O2 0.7502 0.7502 0.2501  6 Mg 2.14-2.15
O3 0.0000 0.5000 0.2518  6 Mg 2.11-2.16
O4 0.7502 0.2498 0.7499  6 Mg 2.14-2.15
O5 0.2498 0.7502 0.2501  6 Mg 2.14-2.15
O6 0.5000 0.2523 0.0000  6 Mg 2.12-2.16
O7 0.2523 0.5000 0.0000  6 Mg 2.12-2.16
O8 0.5000 0.7477 0.0000  6 Mg 2.12-2.16
O9 0.2498 0.2498 0.2501  6 Mg 2.14-2.15
O10 0.0000 0.7438 0.5000  5 Mg 2.09-2.15, 1 V 2.19
O11 0.5000 0.5000 0.2505  6 Mg 2.14-2.15
O12 0.2562 0.0000 0.5000  5 Mg 2.09-2.15, 1 V 2.19
O13 0.5000 0.7490 0.5000  6 Mg 2.13-2.15
O14 0.0000 0.2562 0.5000  5 Mg 2.09-2.15, 1 V 2.19
O15 0.0000 0.7372 0.0000  5 Mg 2.03-2.17, 1 Ca 2.25
O16 0.0000 0.2628 0.0000  5 Mg 2.03-2.17, 1 Ca 2.25
O17 0.2498 0.2498 0.7499  6 Mg 2.14-2.15
O18 0.7372 0.0000 0.0000  5 Mg 2.03-2.17, 1 Ca 2.25
O19 0.5000 0.5000 0.7495  6 Mg 2.14-2.15
O20 0.5000 0.0000 0.2518  6 Mg 2.11-2.16
O21 0.7477 0.5000 0.0000  6 Mg 2.12-2.16
O22 0.2498 0.7502 0.7499  6 Mg 2.14-2.15
O23 0.5000 0.0000 0.7482  6 Mg 2.11-2.16
O24 0.2510 0.5000 0.5000  6 Mg 2.13-2.15
O25 0.0000 0.0000 0.2564  1 V 2.09, 4 Mg 2.17, 1 Ca 2.20
O26 0.0000 0.5000 0.7482  6 Mg 2.11-2.16
O27 0.7490 0.5000 0.5000  6 Mg 2.13-2.15
O28 0.7438 0.0000 0.5000  5 Mg 2.09-2.15, 1 V 2.19
O29 0.7502 0.2498 0.2501  6 Mg 2.14-2.15
O30 0.7502 0.7502 0.7499  6 Mg 2.14-2.15
O31 0.0000 0.0000 0.7436  1 V 2.09, 4 Mg 2.17, 1 Ca 2.20
O32 0.2628 0.0000 0.0000  5 Mg 2.03-2.17, 1 Ca 2.25
Ca1 0.0000 0.0000 0.0000  6 O 2.20-2.25
V1 0.0000 0.0000 0.5000  6 O 2.09-2.19